A plane-wave DFT calculation with PBE+U was carried out for crystalline Li3Fe2SnO6 at its relaxed geometry.

Unit cell a=6.7857 b=6.7857 c=6.1260 alpha=102.67 beta=102.67 gamma=26.17
Closest atoms and distances in Å follow each position.
Fractional positions:
Li (0.0000, 0.0000, 0.0000)  6 O 2.15-2.23
Li (0.3266, 0.3266, 0.6685)  6 O 2.14-2.27
Li (0.6734, 0.6734, 0.3315)  6 O 2.14-2.27
Fe (0.3264, 0.3264, 0.1492)  6 O 2.06-2.22
Fe (0.6736, 0.6736, 0.8508)  6 O 2.06-2.22
Sn (0.0000, 0.0000, 0.5000)  6 O 2.07-2.11
O (0.1607, 0.1607, 0.5965)  1 Sn 2.07, 3 Li 2.14-2.27, 2 Fe 2.17
O (0.1668, 0.1668, 0.0734)  3 Fe 2.06-2.07, 3 Li 2.15-2.19
O (0.4985, 0.4985, 0.2628)  2 Sn 2.11, 1 Fe 2.22, 3 Li 2.23-2.25
O (0.5015, 0.5015, 0.7372)  2 Sn 2.11, 1 Fe 2.22, 3 Li 2.23-2.25
O (0.8332, 0.8332, 0.9266)  3 Fe 2.06-2.07, 3 Li 2.15-2.19
O (0.8393, 0.8393, 0.4035)  1 Sn 2.07, 3 Li 2.14-2.27, 2 Fe 2.17

Computed properties:
The space group is C2/m. The electronic total energy comes out at -0.4354 Ry/atom. For the density of states at the Fermi level, the calculation gives 1.49 states/eV/cell.